Computed, not measured: a relaxed NbAgBi2 crystal at the PBE level of DFT.

The space group is I-42d (No. 122) and the conventional cell measures 6.6204, 6.6204 and 12.6897 Å, with angles of 90.00, 90.00 and 90.00 degrees. The inequivalent atoms are Nb at (0.0000, 0.0000, 0.0000), Ag at (0.0000, 0.0000, 0.5000) and Bi at (0.2345, 0.2500, 0.1250).

Its density of states at the Fermi level is 0.012 states/eV/f.u. As for the formation energy: 0.6774 eV per atom. Its density is 7.4 Mg/m³.

Computed, not measured: a relaxed MnAl2CuCl crystal at the PBE level of DFT.

The space group is P4/mmm (No. 123) and the conventional cell measures 4.8888, 4.8888 and 4.6157 Å, with angles of 90.00, 90.00 and 90.00 degrees. The inequivalent atoms are Mn at (0.0000, 0.0000, 0.0000), Al at (0.0000, 0.5000, 0.0000), Cu at (0.0000, 0.0000, 0.5000) and Cl at (0.5000, 0.5000, 0.5000).

Its density of states at the Fermi level is 4.855 states/eV/f.u. Its density is 3.1 Mg/m³. The value obtained for the formation energy without anion corrections is 263 kJ/mol of formula units.

Computed, not measured: a relaxed CaY3Tl crystal at the PBE level of DFT.

The space group is Pm-3m (No. 221) and the conventional cell measures 5.8253, 5.8253 and 5.8253 Å, with angles of 90.00, 90.00 and 90.00 degrees. The inequivalent atoms are Ca at (0.0000, 0.0000, 0.0000), Y at (0.0000, 0.5000, 0.5000) and Tl at (0.5000, 0.5000, 0.5000).

Its density of states at the Fermi level is 10.702 states/eV/f.u. As for the formation energy: 0.2536 eV per atom. The value obtained for the relative energy among the computed polymorphs is 0 meV/atom. Its density is 4.3 Mg/m³.

Computed, not measured: a relaxed Nd4Sm10Tm crystal at the PBE level of DFT.

The space group is I4/mmm (No. 139) and the conventional cell measures 11.4915, 11.4915 and 7.9463 Å, with angles of 90.00, 90.00 and 90.00 degrees. The inequivalent atoms are Nd at (0.2284, 0.2284, 0.0000), Sm at (0.0000, 0.2103, 0.2899), Sm at (0.0000, 0.5000, 0.2500) and Tm at (0.0000, 0.0000, 0.0000).

Its density of states at the Fermi level is 21.965 states/eV/f.u. As for the formation energy: 0.2356 eV per atom. Its density is 7.1 Mg/m³.